Crystalline Tb6YTm6 at its relaxed geometry. Source: the Alexandria database, functional GGA-PBE.

```
data_Tb6YTm6
_cell_length_a 6.6321
_cell_length_b 6.6321
_cell_length_c 11.2539
_cell_angle_alpha 90.00
_cell_angle_beta 90.00
_cell_angle_gamma 120.00
_symmetry_space_group_name_H-M 'P 6/m m m'
_symmetry_Int_Tables_number 191
_symmetry_space_group_name_Hall '-P 6 2'
loop_
_atom_site_label
_atom_site_type_symbol
_atom_site_fract_x
_atom_site_fract_y
_atom_site_fract_z
_atom_site_occupancy
Tb1 Tb 0.0000 0.0000 0.1566 1
Tb2 Tb 0.3333 0.6667 0.0000 1
Tb3 Tb 0.3333 0.6667 0.5000 1
Y1 Y 0.0000 0.0000 0.5000 1
Tm1 Tm 0.0000 0.5000 0.2566 1
```

Calculated values
Its theoretical density is 7.963 g/cm³. Its formation enthalpy at 0 K is 0.270 eV per atom.

=====

Crystalline TbY14Tm at its relaxed geometry. Source: the Alexandria database, functional GGA-PBE.

```
data_TbY14Tm
_cell_length_a 7.136
_cell_length_b 7.136
_cell_length_c 10.060
_cell_angle_alpha 90.00
_cell_angle_beta 90.00
_cell_angle_gamma 90.00
_symmetry_space_group_name_H-M 'P 4/m m m'
_symmetry_Int_Tables_number 123
_symmetry_space_group_name_Hall '-P 4 2'
loop_
_atom_site_label
_atom_site_type_symbol
_atom_site_fract_x
_atom_site_fract_y
_atom_site_fract_z
_atom_site_occupancy
Tb1 Tb 0.000 0.000 0.000 1
Y1 Y 0.000 0.000 0.500 1
Y2 Y 0.000 0.500 0.000 1
Y3 Y 0.000 0.500 0.500 1
Y4 Y 0.250 0.250 0.249 1
Y5 Y 0.500 0.500 0.500 1
Tm1 Tm 0.500 0.500 0.000 1
```

Calculated values
Its theoretical density is 5.098 g/cm³. Its formation enthalpy at 0 K is 0.022 eV per atom.

=====

Crystalline Tb7Y2Tm4 at its relaxed geometry. Source: the Alexandria database, functional GGA-PBE.

```
data_Tb7Y2Tm4
_cell_length_a 6.0671
_cell_length_b 6.0671
_cell_length_c 13.0994
_cell_angle_alpha 90.00
_cell_angle_beta 90.00
_cell_angle_gamma 120.00
_symmetry_space_group_name_H-M 'P -3 1 m'
_symmetry_Int_Tables_number 162
_symmetry_space_group_name_Hall '-P 3 2'
loop_
_atom_site_label
_atom_site_type_symbol
_atom_site_fract_x
_atom_site_fract_y
_atom_site_fract_z
_atom_site_occupancy
Tb1 Tb 0.0000 0.0000 0.0000 1
Tb2 Tb 0.0000 0.3608 0.2199 1
Y1 Y 0.3333 0.6667 0.0000 1
Tm1 Tm 0.0000 0.0000 0.3937 1
Tm2 Tm 0.3333 0.6667 0.5000 1
```

Calculated values
Its theoretical density is 7.818 g/cm³. Its formation enthalpy at 0 K is 0.186 eV per atom.